Record 1
# TaCr2W | Alexandria | PBE-GGA | relaxed
data_TaCr2W
_chemical_formula_sum 'Ta2 Cr4 W2'
_space_group_name_H-M_alt 'C 1 2/m 1'
_space_group_IT_number 12
_cell_length_a 5.399
_cell_length_b 8.449
_cell_length_c 2.718
_cell_angle_alpha 90.00
_cell_angle_beta 110.20
_cell_angle_gamma 90.00
loop_
_space_group_symop_operation_xyz
'x,y,z'
'-x,-y,-z'
'-x,y,-z'
'x,-y,z'
'x+1/2,y+1/2,z'
'-x+1/2,-y+1/2,-z'
'-x+1/2,y+1/2,-z'
'x+1/2,-y+1/2,z'
loop_
_atom_site_label
_atom_site_type_symbol
_atom_site_fract_x
_atom_site_fract_y
_atom_site_fract_z
Ta1 Ta 0.000 0.000 0.000
Cr1 Cr 0.250 0.250 0.500
W1 W 0.000 0.500 0.000
# E_tot in eV per atom: -10.926
# E above lowest polymorph in meV/atom: 127.7
# DOS at the Fermi energy in states/eV per cell: 3.8

Record 2
# TaCr2W | Alexandria | PBE-GGA | relaxed
data_TaCr2W
_chemical_formula_sum 'Ta2 Cr4 W2'
_space_group_name_H-M_alt 'I m m 2'
_space_group_IT_number 44
_cell_length_a 3.067
_cell_length_b 4.333
_cell_length_c 8.692
_cell_angle_alpha 90.00
_cell_angle_beta 90.00
_cell_angle_gamma 90.00
loop_
_space_group_symop_operation_xyz
'x,y,z'
'-x,-y,z'
'-x,y,z'
'x,-y,z'
'x+1/2,y+1/2,z+1/2'
'-x+1/2,-y+1/2,z+1/2'
'-x+1/2,y+1/2,z+1/2'
'x+1/2,-y+1/2,z+1/2'
loop_
_atom_site_label
_atom_site_type_symbol
_atom_site_fract_x
_atom_site_fract_y
_atom_site_fract_z
Ta1 Ta 0.000 0.000 0.000
Cr1 Cr 0.000 0.000 0.508
Cr2 Cr 0.000 0.500 0.248
W1 W 0.000 0.500 0.762
# E_tot in eV per atom: -10.997
# E above lowest polymorph in meV/atom: 56.1
# DOS at the Fermi energy in states/eV per cell: 4.4

Record 3
# Ta3CrW | Alexandria | PBE-GGA | relaxed
data_Ta3CrW
_chemical_formula_sum 'Ta3 Cr1 W1'
_space_group_name_H-M_alt 'P m -3 m'
_space_group_IT_number 221
_space_group_name_Hall '-P 4 2 3'
_cell_length_a 4.551
_cell_length_b 4.551
_cell_length_c 4.551
_cell_angle_alpha 90.00
_cell_angle_beta 90.00
_cell_angle_gamma 90.00
loop_
_atom_site_label
_atom_site_type_symbol
_atom_site_fract_x
_atom_site_fract_y
_atom_site_fract_z
Ta1 Ta 0.000 0.000 0.500
Cr1 Cr 0.000 0.000 0.000
W1 W 0.500 0.500 0.500
# E_tot in eV per atom: -10.390
# E above lowest polymorph in meV/atom: 0.0
# DOS at the Fermi energy in states/eV per cell: 7.9